No. 1
# GaHPd6

An optimized crystal structure of GaHPd6 (PBE, Alexandria).

```
data_GaHPd6
_symmetry_space_group_name_H-M 'P -1'
_symmetry_Int_Tables_number 2
_cell_length_a 4.850
_cell_length_b 4.851
_cell_length_c 4.851
_cell_angle_alpha 99.45
_cell_angle_beta 99.43
_cell_angle_gamma 99.59
loop_
_symmetry_equiv_pos_as_xyz
'x,y,z'
'-x,-y,-z'
loop_
_atom_site_label
_atom_site_type_symbol
_atom_site_fract_x
_atom_site_fract_y
_atom_site_fract_z
_atom_site_occupancy
Ga1 Ga 0.000 0.000 0.000 1
H1 H 0.500 0.500 0.500 1
Pd1 Pd 0.140 0.279 0.570 1
Pd2 Pd 0.279 0.569 0.140 1
Pd3 Pd 0.430 0.860 0.721 1
```

**Uncorrected energy**: -4.95 eV/atom

No. 2
# Ho2MgRh3

An optimized crystal structure of Ho2MgRh3 (PBE, Alexandria).

```
data_Ho2MgRh3
_symmetry_space_group_name_H-M 'P 4/m m m'
_symmetry_Int_Tables_number 123
_symmetry_space_group_name_Hall '-P 4 2'
_cell_length_a 3.336
_cell_length_b 3.336
_cell_length_c 9.837
_cell_angle_alpha 90.00
_cell_angle_beta 90.00
_cell_angle_gamma 90.00
loop_
_atom_site_label
_atom_site_type_symbol
_atom_site_fract_x
_atom_site_fract_y
_atom_site_fract_z
_atom_site_occupancy
Ho1 Ho 0.000 0.000 0.179 1
Mg1 Mg 0.000 0.000 0.500 1
Rh1 Rh 0.500 0.500 0.000 1
Rh2 Rh 0.500 0.500 0.347 1
```

**Excess energy over the best structure of this formula in the dataset**: 21.2 meV/atom
**ΔH_f (0 K)**: -0.786 eV/atom
**Uncorrected energy**: -6.25 eV/atom

No. 3
# PmEr2Cd

An optimized crystal structure of PmEr2Cd (PBE, Alexandria).

```
data_PmEr2Cd
_symmetry_space_group_name_H-M 'F m -3 m'
_symmetry_Int_Tables_number 225
_symmetry_space_group_name_Hall '-F 4 2 3'
_cell_length_a 7.699
_cell_length_b 7.699
_cell_length_c 7.699
_cell_angle_alpha 90.00
_cell_angle_beta 90.00
_cell_angle_gamma 90.00
loop_
_atom_site_label
_atom_site_type_symbol
_atom_site_fract_x
_atom_site_fract_y
_atom_site_fract_z
_atom_site_occupancy
Pm1 Pm 0.000 0.000 0.000 1
Er1 Er 0.250 0.250 0.250 1
Cd1 Cd 0.000 0.000 0.500 1
```

**Excess energy over the best structure of this formula in the dataset**: 173.5 meV/atom
**ΔH_f (0 K)**: 0.024 eV/atom
**Uncorrected energy**: -3.67 eV/atom

No. 4
# Hf6SN2

An optimized crystal structure of Hf6SN2 (PBE, Alexandria).

```
data_Hf6SN2
_symmetry_space_group_name_H-M 'P n n m'
_symmetry_Int_Tables_number 58
_cell_length_a 5.271
_cell_length_b 5.748
_cell_length_c 9.980
_cell_angle_alpha 90.00
_cell_angle_beta 90.00
_cell_angle_gamma 90.00
loop_
_symmetry_equiv_pos_as_xyz
'x,y,z'
'-x,-y,-z'
'-x,-y,z'
'x,y,-z'
'x+1/2,-y+1/2,-z+1/2'
'-x+1/2,y+1/2,z+1/2'
'-x+1/2,y+1/2,-z+1/2'
'x+1/2,-y+1/2,z+1/2'
loop_
_atom_site_label
_atom_site_type_symbol
_atom_site_fract_x
_atom_site_fract_y
_atom_site_fract_z
_atom_site_occupancy
Hf1 Hf 0.230 0.182 0.176 1
Hf2 Hf 0.245 0.646 0.000 1
S1 S 0.000 0.500 0.500 1
N1 N 0.000 0.000 0.340 1
```

**Energy relative to the elements, uncorrected**: -1.11 eV per atom
**Uncorrected energy**: -10.05 eV/atom

| no. | V (A^3/atom) | Fermi-level density of states (states/eV/cell) | total magnetization (μB per cell) |
| --- | --- | --- | --- |
| 1 | 13.61 | 5.24 | 0.00 |
| 2 | 18.25 | 1.48 | 0.00 |
| 3 | 28.52 | 23.82 | 1.75 |
| 4 | 16.80 | 9.99 | 0.00 |